First-principles (PBE with a Hubbard U) data for an optimized crystal structure of YV2SiF, as listed in Alexandria.

Fermi-level density of states: 3.987 states/eV/f.u.
electronic total energy: -5.87 eV/atom
theoretical density: 4.36 g cm⁻³

abc: 4.354 4.354 4.783
angles: 90.00 90.00 90.00
Space group P4/mmm (No. 123)
Asymmetric unit:
Y  0.000  0.000  0.000 [1 per cell]
V  0.000  0.500  0.500 [2 per cell]
Si  0.500  0.500  0.000 [1 per cell]
F  0.000  0.000  0.500 [1 per cell]